Record 1
The following is a PBE calculation of a relaxed structure of NaTl2TcF6, from OQMD via LeMat-Bulk.

Properties
* space-group type: No. 2
* energy relative to the lowest polymorph listed for this composition: 0.0 meV/atom
* M_tot: 2.0 μB/f.u.
* E: -4.7691 eV/atom

a b c (Å): 5.831 6.003 8.348
angles (deg): 89.88 88.00 89.88
Fractional coordinates of all 20 atoms:
1 Na 0.000 0.000 0.000
2 Na 0.500 0.500 0.500
3 Tl 0.005 0.500 0.247
4 Tl 0.493 0.000 0.254
5 Tl 0.507 0.000 0.746
6 Tl 0.995 0.500 0.753
7 Tc 0.000 0.000 0.500
8 Tc 0.500 0.500 0.000
9 F 0.011 0.999 0.741
10 F 0.232 0.750 0.505
11 F 0.237 0.246 0.506
12 F 0.262 0.255 0.994
13 F 0.269 0.751 0.995
14 F 0.490 0.501 0.759
15 F 0.510 0.499 0.241
16 F 0.731 0.249 0.005
17 F 0.738 0.745 0.006
18 F 0.763 0.754 0.494
19 F 0.768 0.250 0.495
20 F 0.989 0.001 0.259

Record 2
The following is a PBE calculation of a relaxed structure of NaTl2TcF6, from OQMD via LeMat-Bulk.

Properties
* space-group type: No. 71
* energy relative to the lowest polymorph listed for this composition: 25.6 meV/atom
* M_tot: 2.0 μB/f.u.
* E: -4.7435 eV/atom

a b c (Å): 5.867 5.867 5.867
angles (deg): 120.03 119.85 90.11
Fractional coordinates of all 10 atoms:
1 Na 0.000 0.000 0.000
2 Tl 0.250 0.750 0.500
3 Tl 0.750 0.250 0.500
4 Tc 0.500 0.500 0.000
5 F 0.257 0.257 0.000
6 F 0.257 0.257 0.514
7 F 0.257 0.743 0.000
8 F 0.743 0.257 0.000
9 F 0.743 0.743 0.000
10 F 0.743 0.743 0.486

Record 3
The following is a PBE calculation of a relaxed structure of NaTl2ZnF6, from OQMD via LeMat-Bulk.

Properties
* space-group type: No. 87
* E: -3.9079 eV/atom

a b c (Å): 5.852 5.852 5.852
angles (deg): 121.77 121.77 86.96
Fractional coordinates of all 10 atoms:
1 Na 0.000 0.000 0.000
2 Tl 0.250 0.750 0.500
3 Tl 0.750 0.250 0.500
4 Zn 0.500 0.500 0.000
5 F 0.185 0.663 0.848
6 F 0.260 0.260 0.000
7 F 0.337 0.185 0.522
8 F 0.663 0.815 0.478
9 F 0.740 0.740 0.000
10 F 0.815 0.337 0.152

Record 4
The following is a PBE calculation of a relaxed structure of NaUF5, from OQMD via LeMat-Bulk.

Properties
* space-group type: No. 62
* M_tot: 2.0 μB/f.u.
* E: -6.4949 eV/atom

a b c (Å): 8.481 7.894 10.066
angles (deg): 90.00 90.00 90.00
Fractional coordinates of all 56 atoms:
1 Na 0.179 0.250 0.001
2 Na 0.194 0.750 0.986
3 Na 0.306 0.250 0.486
4 Na 0.321 0.750 0.501
5 Na 0.679 0.250 0.499
6 Na 0.694 0.750 0.514
7 Na 0.806 0.250 0.014
8 Na 0.821 0.750 0.999
9 U 0.005 0.504 0.306
10 U 0.005 0.996 0.306
11 U 0.495 0.004 0.806
12 U 0.495 0.496 0.806
13 U 0.505 0.504 0.194
14 U 0.505 0.996 0.194
15 U 0.995 0.004 0.694
16 U 0.995 0.496 0.694
17 F 0.008 0.250 0.169
18 F 0.012 0.589 0.105
19 F 0.012 0.911 0.105
20 F 0.030 0.250 0.417
21 F 0.140 0.250 0.669
22 F 0.150 0.750 0.329
23 F 0.161 0.514 0.507
24 F 0.161 0.986 0.507
25 F 0.241 0.573 0.761
26 F 0.241 0.927 0.761
27 F 0.259 0.073 0.261
28 F 0.259 0.427 0.261
29 F 0.339 0.014 0.007
30 F 0.339 0.486 0.007
31 F 0.350 0.250 0.829
32 F 0.360 0.750 0.169
33 F 0.470 0.750 0.917
34 F 0.488 0.089 0.605
35 F 0.488 0.411 0.605
36 F 0.492 0.750 0.669
37 F 0.508 0.250 0.331
38 F 0.512 0.589 0.395
39 F 0.512 0.911 0.395
40 F 0.530 0.250 0.083
41 F 0.640 0.250 0.831
42 F 0.650 0.750 0.171
43 F 0.661 0.514 0.993
44 F 0.661 0.986 0.993
45 F 0.741 0.573 0.739
46 F 0.741 0.927 0.739
47 F 0.759 0.073 0.239
48 F 0.759 0.427 0.239
49 F 0.839 0.014 0.493
50 F 0.839 0.486 0.493
51 F 0.850 0.250 0.671
52 F 0.860 0.750 0.331
53 F 0.970 0.750 0.583
54 F 0.988 0.089 0.895
55 F 0.988 0.411 0.895
56 F 0.992 0.750 0.831

Record 5
The following is a PBE calculation of a relaxed structure of NaU2F9, from OQMD via LeMat-Bulk.

Properties
* space-group type: No. 62
* M_tot: 4.0 μB/f.u.
* E: -6.8461 eV/atom

a b c (Å): 8.469 10.651 6.860
angles (deg): 90.00 90.00 90.00
Fractional coordinates of all 48 atoms:
1 Na 0.030 0.250 0.151
2 Na 0.470 0.750 0.651
3 Na 0.530 0.250 0.349
4 Na 0.970 0.750 0.849
5 U 0.173 0.044 0.662
6 U 0.173 0.456 0.662
7 U 0.327 0.544 0.162
8 U 0.327 0.956 0.162
9 U 0.673 0.044 0.838
10 U 0.673 0.456 0.838
11 U 0.827 0.544 0.338
12 U 0.827 0.956 0.338
13 F 0.006 0.112 0.415
14 F 0.006 0.388 0.415
15 F 0.070 0.590 0.213
16 F 0.070 0.910 0.213
17 F 0.171 0.250 0.675
18 F 0.193 0.109 0.994
19 F 0.193 0.391 0.994
20 F 0.197 0.619 0.872
21 F 0.197 0.881 0.872
22 F 0.303 0.119 0.372
23 F 0.303 0.381 0.372
24 F 0.307 0.609 0.494
25 F 0.307 0.891 0.494
26 F 0.329 0.750 0.175
27 F 0.430 0.090 0.713
28 F 0.430 0.410 0.713
29 F 0.494 0.612 0.915
30 F 0.494 0.888 0.915
31 F 0.506 0.112 0.085
32 F 0.506 0.388 0.085
33 F 0.570 0.590 0.287
34 F 0.570 0.910 0.287
35 F 0.671 0.250 0.825
36 F 0.693 0.109 0.506
37 F 0.693 0.391 0.506
38 F 0.697 0.619 0.628
39 F 0.697 0.881 0.628
40 F 0.803 0.119 0.128
41 F 0.803 0.381 0.128
42 F 0.807 0.609 0.006
43 F 0.807 0.891 0.006
44 F 0.829 0.750 0.325
45 F 0.930 0.090 0.787
46 F 0.930 0.410 0.787
47 F 0.994 0.612 0.585
48 F 0.994 0.888 0.585

Record 6
The following is a PBE calculation of a relaxed structure of NaZn3F7, from OQMD via LeMat-Bulk.

Properties
* space-group type: No. 15
* E: -3.9713 eV/atom

a b c (Å): 7.025 7.025 6.999
angles (deg): 118.28 118.28 60.68
Fractional coordinates of all 22 atoms:
1 Na 0.000 0.000 0.000
2 Na 0.000 0.000 0.500
3 Zn 0.000 0.500 0.000
4 Zn 0.000 0.500 0.500
5 Zn 0.500 0.000 0.000
6 Zn 0.500 0.000 0.500
7 Zn 0.500 0.500 0.000
8 Zn 0.500 0.500 0.500
9 F 0.140 0.175 0.394
10 F 0.156 0.520 0.329
11 F 0.175 0.140 0.894
12 F 0.182 0.623 0.983
13 F 0.371 0.629 0.750
14 F 0.377 0.818 0.517
15 F 0.480 0.844 0.171
16 F 0.520 0.156 0.829
17 F 0.623 0.182 0.483
18 F 0.629 0.371 0.250
19 F 0.818 0.377 0.017
20 F 0.825 0.860 0.106
21 F 0.844 0.480 0.671
22 F 0.860 0.825 0.606